Below is a geometry-optimized MoSCl2F structure, with properties calculated at the PBE+U level.

Values from the calculation:
- Final energy: -3.08 eV/atom
- SG: P4/mmm
- E above lowest polymorph: 0.5357 eV/atom
- Calculated density: 3.46 g/cm3
- Total magnetization: 3.051 Bohr magnetons per cell

```
MoSCl2F
1.0
5.342 0.000 0.000
0.000 5.342 0.000
0.000 0.000 3.667
Mo S Cl F
1 1 2 1
Direct
0.000 0.000 0.000
0.500 0.500 0.000
0.000 0.500 0.500
0.500 0.000 0.500
0.500 0.500 0.500
```